No. 1
This record from Alexandria describes a relaxed structure of Nd2CrRe2N6. The functional is PBE-GGA.

The uncorrected formation energy comes out at -364 meV/atom. Its space-group type is R-3m (166).

Structure (POSCAR):
```
Nd2CrRe2N6
1.0
5.903 0.000 0.000
2.952 5.112 0.000
2.952 1.704 5.378
N Re Nd Cr
6 2 2 1
Direct
0.771 0.230 0.768
0.230 0.230 0.768
0.230 0.771 0.768
0.770 0.770 0.232
0.770 0.229 0.232
0.229 0.770 0.232
0.572 0.572 0.283
0.428 0.428 0.717
0.198 0.198 0.406
0.802 0.802 0.594
0.000 0.000 0.000
```

---

No. 2
This record from Alexandria describes a relaxed structure of CeTm4Pb5. The functional is PBE-GGA.

For the energy of formation, the calculation gives -256 kJ/mol of formula units. Its space-group type is I4 (79).

Structure (POSCAR):
```
CeTm4Pb5
1.0
6.277 0.000 0.000
3.139 7.018 0.000
3.139 0.000 7.018
Pb Tm Ce
5 4 1
Direct
0.306 0.794 0.596
0.100 0.596 0.206
0.503 0.000 0.000
0.901 0.404 0.794
0.696 0.206 0.404
0.398 0.400 0.805
0.203 0.195 0.400
0.799 0.805 0.600
0.603 0.600 0.195
0.003 0.000 0.000
```